## MoAu3O (GGA+U)

Data for an optimized crystal structure of MoAu3O.

Cell lengths 4.5353, 4.5353, 4.5353 Å; angles 90.00, 90.00, 90.00 degrees
Closest atoms and distances in Å follow each position.
Element x y z (fractional)
Mo: 0.0000 0.0000 0.0000  12 Au 3.21
Au: 0.0000 0.5000 0.5000  2 O 2.27
Au: 0.5000 0.0000 0.5000  2 O 2.27
Au: 0.5000 0.5000 0.0000  2 O 2.27
O: 0.5000 0.5000 0.5000  6 Au 2.27

Computed properties:
polymorph energy (0 for the lowest one): 0.0 meV/atom
total moment: 4.70 μB per formula unit